# 1
DFT (meta-GGA SCAN) results for Tm2MnC4 at its PBEsol-relaxed geometry.

Lattice parameters (Å, degrees): 7.468 9.243 4.910 90.00 90.00 90.00
Space group Ibam (No. 72)
One atom of each set of equivalent atoms:
1 Tm 0.155 0.145 0.000 (multiplicity 8)
2 Mn 0.000 0.500 0.250 (multiplicity 4)
3 C 0.155 0.130 0.500 (multiplicity 8)
4 C 0.172 0.420 0.000 (multiplicity 8)

Crystal system   orthorhombic
ΔH_f (0 K)   -2.7 eV/f.u.

=====

# 2
DFT (meta-GGA SCAN) results for MnWC3 at its PBEsol-relaxed geometry.

Lattice parameters (Å, degrees): 3.650 3.650 3.650 90.00 90.00 90.00
Space group Pm-3m (No. 221)
One atom of each set of equivalent atoms:
1 Mn 0.000 0.000 0.000 (multiplicity 1)
2 W 0.500 0.500 0.500 (multiplicity 1)
3 C 0.000 0.000 0.500 (multiplicity 3)

Crystal system   cubic
ΔH_f (0 K)   10.8 eV/f.u.

=====

# 3
DFT (meta-GGA SCAN) results for ZrMnZn2C at its PBEsol-relaxed geometry.

Lattice parameters (Å, degrees): 4.444 4.444 4.507 90.00 90.00 90.00
Space group P4/mmm (No. 123)
One atom of each set of equivalent atoms:
1 Zr 0.000 0.000 0.000 (multiplicity 1)
2 Mn 0.000 0.000 0.500 (multiplicity 1)
3 Zn 0.000 0.500 0.500 (multiplicity 2)
4 C 0.500 0.500 0.000 (multiplicity 1)

Crystal system   tetragonal
ΔH_f (0 K)   7.6 eV/f.u.

=====

# 4
DFT (meta-GGA SCAN) results for Mo3C at its PBEsol-relaxed geometry.

Lattice parameters (Å, degrees): 5.136 6.567 3.075 90.00 90.00 90.00
Space group Cmmm (No. 65)
One atom of each set of equivalent atoms:
1 Mo 0.000 0.000 0.000 (multiplicity 2)
2 Mo 0.250 0.250 0.500 (multiplicity 4)
3 C 0.000 0.500 0.000 (multiplicity 2)

Crystal system   orthorhombic
Offset from the most stable computed form   0.530 eV/atom
ΔH_f (0 K)   4.0 eV/f.u.

=====

# 5
DFT (meta-GGA SCAN) results for MoC3 at its PBEsol-relaxed geometry.

Lattice parameters (Å, degrees): 4.176 14.417 2.518 90.00 90.00 90.00
Space group Cmcm (No. 63)
One atom of each set of equivalent atoms:
1 Mo 0.000 0.089 0.250 (multiplicity 4)
2 C 0.000 0.475 0.750 (multiplicity 4)
3 C 0.169 0.242 0.250 (multiplicity 8)

Crystal system   orthorhombic
Offset from the most stable computed form   0.000 eV/atom
ΔH_f (0 K)   3.1 eV/f.u.

=====

# 6
DFT (meta-GGA SCAN) results for MoC3 at its PBEsol-relaxed geometry.

Lattice parameters (Å, degrees): 2.536 4.017 6.118 90.00 90.00 90.00
Space group Immm (No. 71)
One atom of each set of equivalent atoms:
1 Mo 0.000 0.000 0.000 (multiplicity 2)
2 C 0.000 0.000 0.500 (multiplicity 2)
3 C 0.000 0.500 0.180 (multiplicity 4)

Crystal system   orthorhombic
Offset from the most stable computed form   1.020 eV/atom
ΔH_f (0 K)   7.2 eV/f.u.

=====

# 7
DFT (meta-GGA SCAN) results for Mo3C at its PBEsol-relaxed geometry.

Lattice parameters (Å, degrees): 8.870 2.933 4.640 90.00 119.52 90.00
Space group C2/m (No. 12)
One atom of each set of equivalent atoms:
1 Mo 0.000 0.000 0.000 (multiplicity 2)
2 Mo 0.191 0.000 0.692 (multiplicity 4)
3 C 0.000 0.500 0.500 (multiplicity 2)

Crystal system   monoclinic
Offset from the most stable computed form   0.000 eV/atom
ΔH_f (0 K)   1.9 eV/f.u.

=====

# 8
DFT (meta-GGA SCAN) results for Mo3C at its PBEsol-relaxed geometry.

Lattice parameters (Å, degrees): 2.974 4.084 4.407 90.00 90.00 90.00
Space group Pmm2 (No. 25)
One atom of each set of equivalent atoms:
1 Mo 0.000 0.000 0.000 (multiplicity 1)
2 Mo 0.000 0.500 0.350 (multiplicity 1)
3 Mo 0.500 0.500 0.809 (multiplicity 1)
4 C 0.500 0.000 0.362 (multiplicity 1)

Crystal system   orthorhombic
Offset from the most stable computed form   0.442 eV/atom
ΔH_f (0 K)   3.7 eV/f.u.

=====

# 9
DFT (meta-GGA SCAN) results for MoCN2 at its PBEsol-relaxed geometry.

Lattice parameters (Å, degrees): 2.8317 2.8317 16.0749 90.00 90.00 120.00
Space group R-3m (No. 166, hexagonal axes)
One atom of each set of equivalent atoms:
1 Mo 0.0000 0.0000 0.0000 (multiplicity 3)
2 C 0.0000 0.0000 0.5000 (multiplicity 3)
3 N 0.0000 0.0000 0.4222 (multiplicity 6)

Crystal system   trigonal
Formation energy from raw total energies   0.136 eV per atom

=====

# 10
DFT (meta-GGA SCAN) results for Na2MoC3SeN3 at its PBEsol-relaxed geometry.

Lattice parameters (Å, degrees): 15.300 15.300 11.082 90.00 90.00 90.00
Space group I4_1/amd (No. 141, origin choice 2)
One atom of each set of equivalent atoms:
1 Na 0.000 0.118 0.272 (multiplicity 16)
2 Na 0.143 0.000 0.500 (multiplicity 16)
3 Mo 0.000 0.155 0.781 (multiplicity 16)
4 C 0.000 0.144 0.593 (multiplicity 16)
5 C 0.086 0.050 0.757 (multiplicity 32)
6 Se 0.000 0.117 0.000 (multiplicity 16)
7 N 0.000 0.132 0.487 (multiplicity 16)
8 N 0.126 0.013 0.269 (multiplicity 32)

Crystal system   tetragonal
Formation energy from raw total energies   -0.374 eV per atom

=====

# 11
DFT (meta-GGA SCAN) results for Ni4Mo6CN at its PBEsol-relaxed geometry.

Lattice parameters (Å, degrees): 9.307 9.333 6.586 90.00 90.00 90.00
Space group C222_1 (No. 20)
One atom of each set of equivalent atoms:
1 Ni 0.125 0.192 0.192 (multiplicity 8)
2 Ni 0.192 0.375 0.942 (multiplicity 8)
3 Mo 0.000 0.452 0.250 (multiplicity 4)
4 Mo 0.051 0.000 0.500 (multiplicity 4)
5 Mo 0.089 0.288 0.575 (multiplicity 8)
6 Mo 0.212 0.086 0.825 (multiplicity 8)
7 C 0.000 0.127 0.750 (multiplicity 4)
8 N 0.123 0.500 0.500 (multiplicity 4)

Crystal system   orthorhombic
Formation energy from raw total energies   -0.147 eV per atom

=====

# 12
DFT (meta-GGA SCAN) results for MoCSN2 at its PBEsol-relaxed geometry.

Lattice parameters (Å, degrees): 3.520 3.520 3.701 90.00 90.00 90.00
Space group P4/mmm (No. 123)
One atom of each set of equivalent atoms:
1 Mo 0.000 0.000 0.000 (multiplicity 1)
2 C 0.500 0.500 0.500 (multiplicity 1)
3 S 0.500 0.500 0.000 (multiplicity 1)
4 N 0.000 0.500 0.500 (multiplicity 2)

Crystal system   tetragonal
Formation energy from raw total energies   1.971 eV per atom

=====

# 13
DFT (meta-GGA SCAN) results for SbMoC2N at its PBEsol-relaxed geometry.

Lattice parameters (Å, degrees): 4.000 4.000 5.444 90.00 90.00 90.00
Space group P4/mmm (No. 123)
One atom of each set of equivalent atoms:
1 Sb 0.000 0.000 0.000 (multiplicity 1)
2 Mo 0.000 0.000 0.500 (multiplicity 1)
3 C 0.000 0.500 0.000 (multiplicity 2)
4 N 0.500 0.500 0.500 (multiplicity 1)

Crystal system   tetragonal
Formation energy from raw total energies   3.473 eV per atom

=====

# 14
DFT (meta-GGA SCAN) results for Te2MoCN at its PBEsol-relaxed geometry.

Lattice parameters (Å, degrees): 5.798 5.798 2.633 90.00 90.00 90.00
Space group P4/mmm (No. 123)
One atom of each set of equivalent atoms:
1 Te 0.000 0.500 0.000 (multiplicity 2)
2 Mo 0.000 0.000 0.500 (multiplicity 1)
3 C 0.500 0.500 0.000 (multiplicity 1)
4 N 0.500 0.500 0.500 (multiplicity 1)

Crystal system   tetragonal
Formation energy from raw total energies   1.367 eV per atom

=====

# 15
DFT (meta-GGA SCAN) results for Na3MoC at its PBEsol-relaxed geometry.

Lattice parameters (Å, degrees): 5.909 5.909 5.909 90.00 90.00 90.00
Space group Pm-3m (No. 221)
One atom of each set of equivalent atoms:
1 Na 0.000 0.000 0.500 (multiplicity 3)
2 Mo 0.000 0.000 0.000 (multiplicity 1)
3 C 0.500 0.500 0.500 (multiplicity 1)

Crystal system   cubic
ΔH_f (0 K)   11.7 eV/f.u.

=====

# 16
DFT (meta-GGA SCAN) results for NaMoC3 at its PBEsol-relaxed geometry.

Lattice parameters (Å, degrees): 3.869 3.869 3.869 90.00 90.00 90.00
Space group Pm-3m (No. 221)
One atom of each set of equivalent atoms:
1 Na 0.000 0.000 0.000 (multiplicity 1)
2 Mo 0.500 0.500 0.500 (multiplicity 1)
3 C 0.000 0.000 0.500 (multiplicity 3)

Crystal system   cubic
ΔH_f (0 K)   18.9 eV/f.u.

=====

# 17
DFT (meta-GGA SCAN) results for Zr2NbMoC4 at its PBEsol-relaxed geometry.

Lattice parameters (Å, degrees): 3.2099 3.2099 31.2250 90.00 90.00 120.00
Space group R3m (No. 160, hexagonal axes)
One atom of each set of equivalent atoms:
1 Zr 0.0000 0.0000 0.0000 (multiplicity 3)
2 Zr 0.0000 0.0000 0.2458 (multiplicity 3)
3 Nb 0.0000 0.0000 0.7522 (multiplicity 3)
4 Mo 0.0000 0.0000 0.4967 (multiplicity 3)
5 C 0.0000 0.0000 0.1258 (multiplicity 3)
6 C 0.0000 0.0000 0.3776 (multiplicity 3)
7 C 0.0000 0.0000 0.6229 (multiplicity 3)
8 C 0.0000 0.0000 0.8685 (multiplicity 3)

Crystal system   trigonal
ΔH_f (0 K)   -4.6 eV/f.u.

=====

# 18
DFT (meta-GGA SCAN) results for Nd2MoC2 at its PBEsol-relaxed geometry.

Lattice parameters (Å, degrees): 5.777 5.777 10.238 90.00 90.00 90.00
Space group P4_2/mnm (No. 136)
One atom of each set of equivalent atoms:
1 Nd 0.197 0.197 0.156 (multiplicity 8)
2 Mo 0.176 0.176 0.500 (multiplicity 4)
3 C 0.000 0.000 0.356 (multiplicity 4)
4 C 0.000 0.500 0.000 (multiplicity 4)

Crystal system   tetragonal
ΔH_f (0 K)   -1.4 eV/f.u.

=====

# 19
DFT (meta-GGA SCAN) results for NiMo3C at its PBEsol-relaxed geometry.

Lattice parameters (Å, degrees): 4.041 4.041 4.041 90.00 90.00 90.00
Space group Pm-3m (No. 221)
One atom of each set of equivalent atoms:
1 Ni 0.000 0.000 0.000 (multiplicity 1)
2 Mo 0.000 0.500 0.500 (multiplicity 3)
3 C 0.500 0.500 0.500 (multiplicity 1)

Crystal system   cubic
ΔH_f (0 K)   1.5 eV/f.u.

=====

# 20
DFT (meta-GGA SCAN) results for Ni6Mo6C at its PBEsol-relaxed geometry.

Lattice parameters (Å, degrees): 10.766 10.766 10.766 90.00 90.00 90.00
Space group Fd-3m (No. 227, origin choice 2)
One atom of each set of equivalent atoms:
1 Ni 0.000 0.000 0.000 (multiplicity 16)
2 Ni 0.042 0.042 0.208 (multiplicity 32)
3 Mo 0.074 0.375 0.875 (multiplicity 48)
4 C 0.125 0.125 0.625 (multiplicity 8)

Crystal system   cubic
ΔH_f (0 K)   -0.9 eV/f.u.

=====

In the order shown, the computed final energy values come out to -23.57, -21.48, -15.69, -27.68, -15.53, -14.51, -28.21, -27.77, -15.76, -12.53, -24.60, -12.67, -16.85, -24.39, -9.18, -10.11, -21.80, -28.73, -25.89, -24.41 eV/atom.